This record from the Alexandria database describes a relaxed EuSb2Pd crystal. The functional is PBE.

- ΔE_f (raw) (kJ/mol of atoms) = -51.83

abc: 4.697 4.697 4.316
angles: 90.00 90.00 90.00
Space group P4/mmm (No. 123)
Asymmetric unit:
Eu1 0.000 0.000 0.000 (multiplicity 1)
Sb1 0.000 0.500 0.500 (multiplicity 2)
Pd1 0.500 0.500 0.000 (multiplicity 1)

=====

This record from the Alexandria database describes a relaxed Eu2SbPd crystal. The functional is PBE.

- ΔE_f (raw) (kJ/mol of atoms) = -74.19

abc: 5.138 5.138 4.078
angles: 90.00 90.00 90.00
Space group P4/mmm (No. 123)
Asymmetric unit:
Eu1 0.000 0.500 0.000 (multiplicity 2)
Sb1 0.000 0.000 0.500 (multiplicity 1)
Pd1 0.500 0.500 0.500 (multiplicity 1)

=====

This record from the Alexandria database describes a relaxed EuSb2Pd crystal. The functional is PBE.

- ΔE_f (raw) (kJ/mol of atoms) = -17.25

abc: 3.6834 3.6834 29.8006
angles: 90.00 90.00 120.00
Space group R-3m (No. 166, hexagonal axes)
Asymmetric unit:
Eu1 0.0000 0.0000 0.0000 (multiplicity 3)
Sb1 0.0000 0.0000 0.1087 (multiplicity 6)
Pd1 0.0000 0.0000 0.5000 (multiplicity 3)

=====

- Which of these has the lowest ΔE_f (raw)?
  Eu2SbPd

=====

- ΔE_f (raw) of number 1 (EuSb2Pd)?
  -51.83 kJ/mol of atoms

=====

- The highest ΔE_f (raw) belongs to which entry?
  number 3

=====

- Which of these has the highest ΔE_f (raw)?
  number 3